{
  "formula": "Sc2HgAu2",
  "functional": "PBE",
  "state": "optimized geometry",
  "cell": [[-3.462, -1.517, -0.718], [-0.116, -1.425, 3.572], [-5.066, 4.862, 3.847]],
  "species": ["Sc", "Sc", "Hg", "Au", "Au"],
  "fractional_positions": [[0.395, 0.395, 0.211], [0.605, 0.605, 0.789], [0.000, 0.000, 0.000], [0.750, 0.250, 0.500], [0.250, 0.750, 0.500]],
  "magnetic_moment_mub_per_atom": 0.000,
  "spacegroup": "I4/mmm (139)",
  "delta_e_f_ev_per_atom": -0.318
}

***

{
  "formula": "KSr2Pt2",
  "functional": "PBE",
  "state": "optimized geometry",
  "cell": [[5.311, 0.000, 0.000], [0.000, 5.311, 0.000], [2.655, 2.655, 5.768]],
  "species": ["Sr", "Sr", "Pt", "Pt", "K"],
  "fractional_positions": [[0.750, 0.250, 0.500], [0.250, 0.750, 0.500], [0.615, 0.615, 0.770], [0.385, 0.385, 0.230], [0.000, 0.000, 0.000]],
  "magnetic_moment_mub_per_atom": 0.000,
  "spacegroup": "I4/mmm (139)",
  "delta_e_f_ev_per_atom": -0.432
}

***

{
  "formula": "Dy6InRh5",
  "functional": "PBE",
  "state": "optimized geometry",
  "cell": [[4.667, 0.023, -1.356], [-0.980, 6.275, -3.268], [-0.050, 0.340, 8.474]],
  "species": ["Rh", "Rh", "Rh", "Rh", "Rh", "In", "Dy", "Dy", "Dy", "Dy", "Dy", "Dy"],
  "fractional_positions": [[0.669, 0.669, 0.337], [0.661, 0.162, 0.324], [0.339, 0.838, 0.676], [0.331, 0.331, 0.663], [0.000, 0.500, 0.000], [0.000, 0.000, 0.000], [0.500, 0.731, 0.000], [0.500, 0.269, 0.000], [0.828, 0.087, 0.655], [0.828, 0.569, 0.655], [0.172, 0.913, 0.345], [0.172, 0.431, 0.345]],
  "magnetic_moment_mub_per_atom": 0.000,
  "spacegroup": "C2/m (12)",
  "delta_e_f_ev_per_atom": -0.763
}

***

{
  "formula": "Pm12SmHo7",
  "functional": "PBE",
  "state": "optimized geometry",
  "cell": [[8.783, 0.553, 0.830], [-1.911, 8.590, 0.830], [-1.911, -2.543, 8.247]],
  "species": ["Pm", "Pm", "Pm", "Pm", "Pm", "Pm", "Pm", "Pm", "Pm", "Pm", "Pm", "Pm", "Sm", "Ho", "Ho", "Ho", "Ho", "Ho", "Ho", "Ho"],
  "fractional_positions": [[0.357, 0.091, 0.358], [0.238, 0.500, 0.762], [0.238, 0.762, 0.500], [0.500, 0.238, 0.762], [0.762, 0.238, 0.500], [0.642, 0.643, 0.909], [0.358, 0.357, 0.091], [0.091, 0.358, 0.357], [0.909, 0.642, 0.643], [0.762, 0.500, 0.238], [0.643, 0.909, 0.642], [0.500, 0.762, 0.238], [0.000, 0.000, 0.000], [0.904, 0.339, 0.905], [0.095, 0.096, 0.661], [0.661, 0.095, 0.096], [0.905, 0.904, 0.339], [0.500, 0.500, 0.500], [0.096, 0.661, 0.095], [0.339, 0.905, 0.904]],
  "magnetic_moment_mub_per_atom": 0.000,
  "e_above_lowest_polymorph_mev_per_atom": 0,
  "spacegroup": "R-3m (166)",
  "delta_e_f_ev_per_atom": 0.102
}

***

Number 2 is which compound? KSr2Pt2